{"formula": "Ca3Ag5", "functional": "PBEsol", "state": "relaxed", "lattice_angstrom": [[7.235, 0.000, 0.000], [0.000, 9.626, 0.000], [0.000, 0.000, 5.052]], "species": ["Ca", "Ca", "Ca", "Ca", "Ca", "Ca", "Ag", "Ag", "Ag", "Ag", "Ag", "Ag", "Ag", "Ag", "Ag", "Ag"], "fractional_positions": [[0.000, 0.000, 0.000], [0.000, 0.288, 0.500], [0.000, 0.712, 0.500], [0.500, 0.212, 0.500], [0.500, 0.500, 0.000], [0.500, 0.788, 0.500], [0.000, 0.500, 0.000], [0.204, 0.000, 0.500], [0.250, 0.250, 0.000], [0.250, 0.750, 0.000], [0.296, 0.500, 0.500], [0.500, 0.000, 0.000], [0.704, 0.500, 0.500], [0.750, 0.250, 0.000], [0.750, 0.750, 0.000], [0.796, 0.000, 0.500]], "formation_energy_ev_per_atom": -0.18}



{"formula": "V3SnH", "functional": "PBEsol", "state": "relaxed", "lattice_angstrom": [[5.561, 0.000, 0.000], [-2.781, 4.816, 0.000], [0.000, 0.000, 4.542]], "species": ["V", "V", "V", "V", "V", "V", "Sn", "Sn", "H", "H"], "fractional_positions": [[0.157, 0.314, 0.250], [0.157, 0.843, 0.250], [0.314, 0.157, 0.750], [0.686, 0.843, 0.250], [0.843, 0.157, 0.750], [0.843, 0.686, 0.750], [0.333, 0.667, 0.750], [0.667, 0.333, 0.250], [0.000, 0.000, 0.000], [0.000, 0.000, 0.500]], "dft_energy_ev_per_atom": -7.4851}



{"formula": "ZnSi2Br", "functional": "PBEsol", "state": "relaxed", "lattice_angstrom": [[3.944, 0.000, 0.000], [-1.972, 3.415, 0.000], [0.000, 0.000, 17.844]], "species": ["Zn", "Zn", "Zn", "Si", "Si", "Si", "Si", "Si", "Si", "Br", "Br", "Br"], "fractional_positions": [[0.000, 0.000, 0.000], [0.333, 0.667, 0.667], [0.667, 0.333, 0.333], [0.000, 0.000, 0.283], [0.000, 0.000, 0.717], [0.333, 0.667, 0.384], [0.333, 0.667, 0.950], [0.667, 0.333, 0.050], [0.667, 0.333, 0.616], [0.000, 0.000, 0.500], [0.333, 0.667, 0.167], [0.667, 0.333, 0.833]], "formation_energy_uncorrected_ev_per_fu": 1.342, "e_above_lowest_polymorph_mev_per_atom": 292}



{"formula": "CoTc", "functional": "PBEsol", "state": "relaxed", "lattice_angstrom": [[9.318, 0.000, 0.000], [0.000, 2.583, 0.000], [-1.522, 0.000, 5.945]], "species": ["Co", "Co", "Co", "Co", "Co", "Co", "Tc", "Tc", "Tc", "Tc", "Tc", "Tc"], "fractional_positions": [[0.000, 0.000, 0.000], [0.062, 0.000, 0.612], [0.171, 0.500, 0.338], [0.500, 0.500, 0.000], [0.562, 0.500, 0.612], [0.671, 0.000, 0.338], [0.213, 0.500, 0.949], [0.340, 0.000, 0.666], [0.398, 0.000, 0.284], [0.713, 0.000, 0.949], [0.840, 0.500, 0.666], [0.898, 0.500, 0.284]], "formation_energy_ev_per_atom": 0.00, "e_above_lowest_polymorph_mev_per_atom": 91}